No. 1
# PBE Er2PuTe5, relaxed
# * energy: -47.6 eV per formula unit
data_Er2PuTe5
_chemical_formula_sum 'Er4 Pu2 Te10'
_space_group_name_H-M_alt 'P 1'
_space_group_IT_number 1
_cell_length_a 8.0899
_cell_length_b 8.0899
_cell_length_c 9.0955
_cell_angle_alpha 116.41
_cell_angle_beta 116.41
_cell_angle_gamma 90.00
loop_
_space_group_symop_operation_xyz
'x,y,z'
loop_
_atom_site_label
_atom_site_type_symbol
_atom_site_fract_x
_atom_site_fract_y
_atom_site_fract_z
_atom_site_occupancy
Er1 Er 0.1515 0.3485 0.0000 1
Er2 Er 0.6515 0.1515 0.0000 1
Er3 Er 0.3485 0.8485 0.0000 1
Er4 Er 0.8485 0.6515 0.0000 1
Pu1 Pu 0.7500 0.7500 0.5000 1
Pu2 Pu 0.2500 0.2500 0.5000 1
Te1 Te 0.5090 0.6935 0.7024 1
Te2 Te 0.8065 0.9910 0.2976 1
Te3 Te 0.0000 0.0000 0.0000 1
Te4 Te 0.5000 0.5000 0.0000 1
Te5 Te 0.1935 0.0090 0.7024 1
Te6 Te 0.6935 0.1935 0.7024 1
Te7 Te 0.0090 0.5090 0.7024 1
Te8 Te 0.3065 0.8065 0.2976 1
Te9 Te 0.9910 0.4910 0.2976 1
Te10 Te 0.4910 0.3065 0.2976 1

=====

No. 2
# PBE CuTe2W, relaxed
# * energy: -21.7 eV per formula unit
data_CuTe2W
_chemical_formula_sum 'Cu1 Te2 W1'
_space_group_name_H-M_alt 'P 1'
_space_group_IT_number 1
_cell_length_a 8.9090
_cell_length_b 8.9090
_cell_length_c 8.9090
_cell_angle_alpha 22.95
_cell_angle_beta 22.95
_cell_angle_gamma 22.95
loop_
_space_group_symop_operation_xyz
'x,y,z'
loop_
_atom_site_label
_atom_site_type_symbol
_atom_site_fract_x
_atom_site_fract_y
_atom_site_fract_z
_atom_site_occupancy
Te1 Te 0.9038 0.9038 0.9038 1
Te2 Te 0.0962 0.0962 0.0962 1
Cu1 Cu 0.0000 0.0000 0.0000 1
W1 W 0.5000 0.5000 0.5000 1

=====

No. 3
# PBE Pu2Cu3Ge4Ir, relaxed
# * energy: -71.7 eV per formula unit
data_Pu2Cu3Ge4Ir
_chemical_formula_sum 'Pu2 Cu3 Ge4 Ir1'
_space_group_name_H-M_alt 'P 1'
_space_group_IT_number 1
_cell_length_a 4.1775
_cell_length_b 4.1775
_cell_length_c 10.0763
_cell_angle_alpha 90.00
_cell_angle_beta 90.00
_cell_angle_gamma 90.00
loop_
_space_group_symop_operation_xyz
'x,y,z'
loop_
_atom_site_label
_atom_site_type_symbol
_atom_site_fract_x
_atom_site_fract_y
_atom_site_fract_z
_atom_site_occupancy
Pu1 Pu 0.5000 0.0000 0.2507 1
Pu2 Pu 0.0000 0.5000 0.7493 1
Cu1 Cu 0.0000 0.0000 0.5000 1
Cu2 Cu 0.5000 0.0000 0.8707 1
Cu3 Cu 0.0000 0.5000 0.1293 1
Ge1 Ge 0.5000 0.5000 0.0000 1
Ge2 Ge 0.0000 0.0000 0.0000 1
Ge3 Ge 0.5000 0.0000 0.6357 1
Ge4 Ge 0.0000 0.5000 0.3643 1
Ir1 Ir 0.5000 0.5000 0.5000 1

=====

No. 4
# PBE Li3Ca2In, relaxed
# * energy: -13.7 eV per formula unit
data_Li3Ca2In
_chemical_formula_sum 'Li3 Ca2 In1'
_space_group_name_H-M_alt 'P 1'
_space_group_IT_number 1
_cell_length_a 5.9450
_cell_length_b 5.9450
_cell_length_c 6.0844
_cell_angle_alpha 90.92
_cell_angle_beta 118.54
_cell_angle_gamma 119.63
loop_
_space_group_symop_operation_xyz
'x,y,z'
loop_
_atom_site_label
_atom_site_type_symbol
_atom_site_fract_x
_atom_site_fract_y
_atom_site_fract_z
_atom_site_occupancy
Li1 Li 0.5000 0.5000 0.5000 1
Li2 Li 0.0000 0.0000 0.5000 1
Li3 Li 0.5000 0.0000 0.5000 1
Ca1 Ca 0.7473 0.3743 0.1216 1
Ca2 Ca 0.2527 0.6257 0.8784 1
In1 In 0.0000 0.0000 0.0000 1

=====

No. 5
# PBE TlInAg4, relaxed
# * energy: -16.0 eV per formula unit
data_TlInAg4
_chemical_formula_sum 'Tl1 In1 Ag4'
_space_group_name_H-M_alt 'P 1'
_space_group_IT_number 1
_cell_length_a 5.6575
_cell_length_b 5.6575
_cell_length_c 5.6575
_cell_angle_alpha 60.00
_cell_angle_beta 60.00
_cell_angle_gamma 60.00
loop_
_space_group_symop_operation_xyz
'x,y,z'
loop_
_atom_site_label
_atom_site_type_symbol
_atom_site_fract_x
_atom_site_fract_y
_atom_site_fract_z
_atom_site_occupancy
Ag1 Ag 0.1258 0.6247 0.6247 1
Ag2 Ag 0.6247 0.6247 0.6247 1
Ag3 Ag 0.6247 0.1258 0.6247 1
Ag4 Ag 0.6247 0.6247 0.1258 1
In1 In 0.2500 0.2500 0.2500 1
Tl1 Tl 0.0000 0.0000 0.0000 1

=====

No. 6
# PBE BaCd8Pb3, relaxed
# * energy: -21.6 eV per formula unit
data_BaCd8Pb3
_chemical_formula_sum 'Ba1 Cd8 Pb3'
_space_group_name_H-M_alt 'P 1'
_space_group_IT_number 1
_cell_length_a 6.1005
_cell_length_b 6.1005
_cell_length_c 10.1317
_cell_angle_alpha 90.00
_cell_angle_beta 90.00
_cell_angle_gamma 120.00
loop_
_space_group_symop_operation_xyz
'x,y,z'
loop_
_atom_site_label
_atom_site_type_symbol
_atom_site_fract_x
_atom_site_fract_y
_atom_site_fract_z
_atom_site_occupancy
Ba1 Ba 0.0000 0.0000 0.5629 1
Cd1 Cd 0.3333 0.6667 0.4991 1
Cd2 Cd 0.3333 0.6667 0.0068 1
Cd3 Cd 0.5032 0.0064 0.7620 1
Cd4 Cd 0.5032 0.4968 0.7620 1
Cd5 Cd 0.9936 0.4968 0.7620 1
Cd6 Cd 0.1633 0.3266 0.2461 1
Cd7 Cd 0.1633 0.8367 0.2461 1
Cd8 Cd 0.6734 0.8367 0.2461 1
Pb1 Pb 0.6667 0.3333 0.4028 1
Pb2 Pb 0.6667 0.3333 0.0669 1
Pb3 Pb 0.0000 0.0000 0.9374 1

=====

What is the energy in the fifth record? -16.0 eV per formula unit

=====

Look up the energy of the first one. -47.6 eV per formula unit